Record 1
The following is a DFT calculation (PBE) of a relaxed structure of Rb2PbI7.

Unit cell a=8.9541 b=8.9541 c=8.9541 alpha=118.65 beta=118.65 gamma=92.35
Closest atoms and distances in Å follow each position.
Fractional coordinates of all 10 atoms:
Rb: 0.2500 0.7500 0.5000  12 I 4.48-4.57
Rb: 0.7500 0.2500 0.5000  12 I 4.48-4.57
Pb: 0.0000 0.0000 0.0000  6 I 3.07-3.08
I: 0.2380 0.2380 0.4759  1 Pb 3.07, 1 I 3.39
I: 0.2380 0.7620 0.0000  1 Pb 3.07, 1 I 3.39
I: 0.2480 0.2480 0.0000  1 Pb 3.08, 1 I 3.12
I: 0.5000 0.5000 0.0000  6 I 3.12-3.39
I: 0.7520 0.7520 0.0000  1 Pb 3.08, 1 I 3.12
I: 0.7620 0.2380 0.0000  1 Pb 3.07, 1 I 3.39
I: 0.7620 0.7620 0.5241  1 Pb 3.07, 1 I 3.39

Computed properties:
The total energy is -2.2940 eV/atom. For the raw formation energy, the calculation gives -0.64 eV/atom. Its crystal system is tetragonal.

Record 2
The following is a DFT calculation (PBE) of a relaxed structure of NbPb3Cl.

Unit cell a=5.5085 b=5.5085 c=5.5085 alpha=90.00 beta=90.00 gamma=90.00
Closest atoms and distances in Å follow each position.
Fractional coordinates of all 5 atoms:
Nb: 0.0000 0.0000 0.0000  6 Pb 2.75
Pb: 0.0000 0.0000 0.5000  2 Nb 2.75
Pb: 0.0000 0.5000 0.0000  2 Nb 2.75
Pb: 0.5000 0.0000 0.0000  2 Nb 2.75
Cl: 0.5000 0.5000 0.5000  12 Pb 3.90

Computed properties:
Its polymorph energy (0 for the lowest one) is 0.000 eV/f.u. The total energy is -4.4395 eV/atom. For the raw formation energy, the calculation gives 0.17 eV/atom. Its crystal system is cubic.

Record 3
The following is a DFT calculation (PBE) of a relaxed structure of CrFePt2.

Unit cell a=8.8018 b=2.7877 c=4.7639 alpha=90.00 beta=100.78 gamma=90.00
Closest atoms and distances in Å follow each position.
Fractional coordinates of all 8 atoms:
Cr: 0.0000 0.0000 0.0000  6 Pt 2.69, 4 Fe 2.76, 2 Cr 2.79
Cr: 0.5000 0.5000 0.0000  6 Pt 2.69, 4 Fe 2.76, 2 Cr 2.79
Fe: 0.0000 0.5000 0.5000  6 Pt 2.69, 4 Cr 2.76, 2 Fe 2.79
Fe: 0.5000 0.0000 0.5000  6 Pt 2.69, 4 Cr 2.76, 2 Fe 2.79
Pt: 0.2499 0.0000 0.7485  3 Fe 2.69, 3 Cr 2.69, 6 Pt 2.75-2.79
Pt: 0.2501 0.5000 0.2515  3 Fe 2.69, 3 Cr 2.69, 6 Pt 2.75-2.79
Pt: 0.7501 0.0000 0.2515  3 Fe 2.69, 3 Cr 2.69, 6 Pt 2.75-2.79
Pt: 0.7499 0.5000 0.7485  3 Fe 2.69, 3 Cr 2.69, 6 Pt 2.75-2.79

Computed properties:
The total energy is -7.6403 eV/atom. Its crystal system is monoclinic. As for the formation energy: -0.10 eV per atom.

Record 4
The following is a DFT calculation (PBE) of a relaxed structure of Li6PbAu.

Unit cell a=5.8407 b=5.8407 c=4.7940 alpha=90.00 beta=90.00 gamma=120.00
Closest atoms and distances in Å follow each position.
Fractional coordinates of all 8 atoms:
Li: 0.0102 0.5051 0.0000  8 Li 2.83-3.01, 2 Pb 2.90, 2 Au 2.92
Li: 0.3200 0.1600 0.5000  8 Li 2.80-3.04, 2 Au 2.89, 2 Pb 2.92
Li: 0.4949 0.5051 0.0000  8 Li 2.83-3.01, 2 Pb 2.90, 2 Au 2.92
Li: 0.4949 0.9898 0.0000  8 Li 2.83-3.01, 2 Pb 2.90, 2 Au 2.92
Li: 0.8400 0.1600 0.5000  8 Li 2.80-3.04, 2 Au 2.89, 2 Pb 2.92
Li: 0.8400 0.6800 0.5000  8 Li 2.80-3.04, 2 Au 2.89, 2 Pb 2.92
Pb: 0.3333 0.6667 0.5000  12 Li 2.90-2.92
Au: 0.0000 0.0000 0.0000  12 Li 2.89-2.92

Computed properties:
Its polymorph energy (0 for the lowest one) is 0.268 eV/f.u. The total energy is -2.6334 eV/atom. Its crystal system is hexagonal. As for the formation energy: -0.32 eV per atom.

Record 5
The following is a DFT calculation (PBE) of a relaxed structure of AlCo2Si.

Unit cell a=2.6829 b=2.6829 c=22.5250 alpha=90.00 beta=90.00 gamma=120.00
Closest atoms and distances in Å follow each position.
Fractional coordinates of all 12 atoms:
Al: 0.0000 0.0000 0.0000  6 Co 2.51, 6 Al 2.68
Al: 0.3333 0.6667 0.6667  6 Co 2.51, 6 Al 2.68
Al: 0.6667 0.3333 0.3333  6 Co 2.51, 6 Al 2.68
Co: 0.0000 0.0000 0.2455  3 Si 2.36, 3 Al 2.51
Co: 0.0000 0.0000 0.7545  3 Si 2.36, 3 Al 2.51
Co: 0.3333 0.6667 0.4212  3 Si 2.36, 3 Al 2.51
Co: 0.3333 0.6667 0.9121  3 Si 2.36, 3 Al 2.51
Co: 0.6667 0.3333 0.0879  3 Si 2.36, 3 Al 2.51
Co: 0.6667 0.3333 0.5788  3 Si 2.36, 3 Al 2.51
Si: 0.0000 0.0000 0.5000  6 Co 2.36
Si: 0.3333 0.6667 0.1667  6 Co 2.36
Si: 0.6667 0.3333 0.8333  6 Co 2.36

Computed properties:
The total energy is -6.1732 eV/atom. For the raw formation energy, the calculation gives -0.33 eV/atom. Its crystal system is trigonal.

Record 6
The following is a DFT calculation (PBE) of a relaxed structure of Sc6AgIr5.

Unit cell a=8.0262 b=8.0262 c=4.6591 alpha=106.73 beta=106.73 gamma=46.73
Closest atoms and distances in Å follow each position.
Fractional coordinates of all 12 atoms:
Sc: 0.0774 0.5828 0.3302  7 Ir 2.78-2.85, 1 Ag 2.87
Sc: 0.2436 0.7564 0.0000  6 Ir 2.79-2.84, 2 Ag 2.84, 1 Sc 3.10
Sc: 0.4172 0.9226 0.6698  7 Ir 2.78-2.85, 1 Ag 2.87
Sc: 0.5828 0.0774 0.3302  7 Ir 2.78-2.85, 1 Ag 2.87
Sc: 0.7564 0.2436 0.0000  6 Ir 2.79-2.84, 2 Ag 2.84, 1 Sc 3.10
Sc: 0.9226 0.4172 0.6698  7 Ir 2.78-2.85, 1 Ag 2.87
Ag: 0.5000 0.5000 0.5000  8 Sc 2.84-2.87, 2 Ir 3.18
Ir: 0.0000 0.0000 0.5000  8 Sc 2.80-2.85
Ir: 0.1657 0.1657 0.1655  8 Sc 2.79-2.81
Ir: 0.3339 0.3339 0.8341  8 Sc 2.78-2.84
Ir: 0.6661 0.6661 0.1659  8 Sc 2.78-2.84
Ir: 0.8343 0.8343 0.8345  8 Sc 2.79-2.81

Computed properties:
The total energy is -7.9939 eV/atom. Its crystal system is monoclinic. As for the formation energy: -0.90 eV per atom.

Record 7
The following is a DFT calculation (PBE) of a relaxed structure of Be2InSb.

Unit cell a=6.5389 b=3.7792 c=6.5846 alpha=90.00 beta=107.09 gamma=90.00
Closest atoms and distances in Å follow each position.
Fractional coordinates of all 8 atoms:
Be: 0.0000 0.0000 0.0000  3 Be 2.18
Be: 0.1689 0.5000 0.0090  3 Be 2.18
Be: 0.5000 0.5000 0.0000  3 Be 2.18
Be: 0.6689 0.0000 0.0090  3 Be 2.18
In: 0.2486 0.0000 0.7115  6 Be 2.84-2.88
In: 0.7486 0.5000 0.7115  6 Be 2.84-2.88
Sb: 0.4034 0.0000 0.2431  6 Be 2.63-2.67
Sb: 0.9034 0.5000 0.2431  6 Be 2.63-2.67

Computed properties:
Its polymorph energy (0 for the lowest one) is 0.000 eV/f.u. The total energy is -3.3099 eV/atom. For the raw formation energy, the calculation gives 0.27 eV/atom. Its crystal system is monoclinic.

Record 8
The following is a DFT calculation (PBE) of a relaxed structure of HoUAl.

Unit cell a=5.9774 b=5.9774 c=8.7262 alpha=90.00 beta=90.00 gamma=113.12
Closest atoms and distances in Å follow each position.
Fractional coordinates of all 12 atoms:
Ho: 0.1190 0.3810 0.2500  6 U 3.25-3.50, 2 Ho 3.29, 6 Al 3.31-3.35
Ho: 0.3810 0.1190 0.7500  6 U 3.25-3.50, 2 Ho 3.29, 6 Al 3.31-3.35
Ho: 0.6190 0.8810 0.2500  6 U 3.25-3.50, 2 Ho 3.29, 6 Al 3.31-3.35
Ho: 0.8810 0.6190 0.7500  6 U 3.25-3.50, 2 Ho 3.29, 6 Al 3.31-3.35
U: 0.1034 0.8966 0.4308  1 U 2.39
U: 0.3966 0.6034 0.9308  1 U 2.39
U: 0.6034 0.3966 0.0692  1 U 2.39
U: 0.8966 0.1034 0.5692  1 U 2.39
Al: 0.1179 0.8821 0.0786  1 Al 2.72
Al: 0.3821 0.6179 0.5786  1 Al 2.72
Al: 0.6179 0.3821 0.4214  1 Al 2.72
Al: 0.8821 0.1179 0.9214  1 Al 2.72

Computed properties:
The total energy is -6.4385 eV/atom. Its crystal system is orthorhombic. As for the formation energy: 0.10 eV per atom.

Record 9
The following is a DFT calculation (PBE) of a relaxed structure of Dy4SnGe2.

Unit cell a=7.7947 b=7.7947 c=7.7947 alpha=109.15 beta=109.15 gamma=110.12
Closest atoms and distances in Å follow each position.
Fractional coordinates of all 14 atoms:
Dy: 0.1316 0.7417 0.7447  2 Ge 2.90-2.95, 1 Sn 3.03
Dy: 0.1369 0.2470 0.7553  2 Ge 2.90-2.95, 1 Sn 3.03
Dy: 0.2583 0.0030 0.3900  2 Ge 2.90-2.95, 1 Sn 3.03
Dy: 0.4917 0.3816 0.2447  2 Ge 2.90-2.95, 1 Sn 3.03
Dy: 0.6131 0.8684 0.6100  2 Ge 2.90-2.95, 1 Sn 3.03
Dy: 0.6184 0.8631 0.1100  2 Ge 2.90-2.95, 1 Sn 3.03
Dy: 0.7530 0.5083 0.8900  2 Ge 2.90-2.95, 1 Sn 3.03
Dy: 0.9970 0.3869 0.2553  2 Ge 2.90-2.95, 1 Sn 3.03
Sn: 0.0000 0.0000 0.0000  8 Dy 3.03-3.29
Sn: 0.7500 0.2500 0.5000  8 Dy 3.03-3.29
Ge: 0.2467 0.6250 0.1217  4 Dy 2.90-2.95
Ge: 0.3750 0.4967 0.6217  4 Dy 2.90-2.95
Ge: 0.5033 0.1250 0.8783  4 Dy 2.90-2.95
Ge: 0.8750 0.7533 0.3783  4 Dy 2.90-2.95

Computed properties:
The total energy is -5.3196 eV/atom. Its crystal system is tetragonal. As for the formation energy: -0.80 eV per atom.

Record 10
The following is a DFT calculation (PBE) of a relaxed structure of ErAlCoCu.

Unit cell a=6.3140 b=6.3140 c=6.3140 alpha=90.00 beta=90.00 gamma=90.00
Closest atoms and distances in Å follow each position.
Fractional coordinates of all 16 atoms:
Er: 0.0000 0.0000 0.0000  4 Co 2.73, 4 Cu 2.73
Er: 0.0000 0.5000 0.5000  4 Co 2.73, 4 Cu 2.73
Er: 0.5000 0.0000 0.5000  4 Co 2.73, 4 Cu 2.73
Er: 0.5000 0.5000 0.0000  4 Co 2.73, 4 Cu 2.73
Al: 0.0000 0.0000 0.5000  4 Cu 2.73, 4 Co 2.73
Al: 0.0000 0.5000 0.0000  4 Cu 2.73, 4 Co 2.73
Al: 0.5000 0.0000 0.0000  4 Cu 2.73, 4 Co 2.73
Al: 0.5000 0.5000 0.5000  4 Cu 2.73, 4 Co 2.73
Co: 0.2500 0.2500 0.7500  4 Er 2.73, 4 Al 2.73
Co: 0.2500 0.7500 0.2500  4 Er 2.73, 4 Al 2.73
Co: 0.7500 0.2500 0.2500  4 Er 2.73, 4 Al 2.73
Co: 0.7500 0.7500 0.7500  4 Er 2.73, 4 Al 2.73
Cu: 0.2500 0.2500 0.2500  4 Er 2.73, 4 Al 2.73
Cu: 0.2500 0.7500 0.7500  4 Er 2.73, 4 Al 2.73
Cu: 0.7500 0.2500 0.7500  4 Er 2.73, 4 Al 2.73
Cu: 0.7500 0.7500 0.2500  4 Er 2.73, 4 Al 2.73

Computed properties:
The total energy is -5.1488 eV/atom. Its crystal system is cubic. As for the formation energy: -0.27 eV per atom.

Record 11
The following is a DFT calculation (PBE) of a relaxed structure of TaTe4Pd2.

Unit cell a=5.4500 b=5.4500 c=13.1936 alpha=90.00 beta=90.00 gamma=90.00
Closest atoms and distances in Å follow each position.
Fractional coordinates of all 14 atoms:
Ta: 0.0000 0.0000 0.0000  6 Te 2.71-2.72
Ta: 0.5000 0.5000 0.5000  6 Te 2.71-2.72
Te: 0.0000 0.0000 0.2057  1 Pd 2.59, 1 Ta 2.71
Te: 0.0000 0.0000 0.7943  1 Pd 2.59, 1 Ta 2.71
Te: 0.0000 0.5000 0.0000  2 Ta 2.72, 4 Pd 3.02
Te: 0.0000 0.5000 0.5000  2 Ta 2.72, 4 Pd 3.02
Te: 0.5000 0.0000 0.0000  2 Ta 2.72, 4 Pd 3.02
Te: 0.5000 0.0000 0.5000  2 Ta 2.72, 4 Pd 3.02
Te: 0.5000 0.5000 0.2943  1 Pd 2.59, 1 Ta 2.71
Te: 0.5000 0.5000 0.7057  1 Pd 2.59, 1 Ta 2.71
Pd: 0.0000 0.0000 0.4018  1 Te 2.59, 1 Pd 2.59
Pd: 0.0000 0.0000 0.5982  1 Te 2.59, 1 Pd 2.59
Pd: 0.5000 0.5000 0.0982  1 Te 2.59, 1 Pd 2.59
Pd: 0.5000 0.5000 0.9018  1 Te 2.59, 1 Pd 2.59

Computed properties:
The total energy is -4.7754 eV/atom. For the raw formation energy, the calculation gives 0.20 eV/atom. Its crystal system is tetragonal.